1.
UGeRh2: relaxed, PBE-GGA.

Computed properties:
VASP energy	-8.025	eV/atom
energy relative to the elements	-0.3734	eV per atom
DOS(E_F)	5.25	states/eV/f.u.

```
data_UGeRh2
_cell_length_a 3.099
_cell_length_b 3.099
_cell_length_c 6.913
_cell_angle_alpha 90.00
_cell_angle_beta 90.00
_cell_angle_gamma 90.00
_symmetry_space_group_name_H-M 'P 4/m m m'
_symmetry_Int_Tables_number 123
_symmetry_space_group_name_Hall '-P 4 2'
loop_
_atom_site_label
_atom_site_fract_x
_atom_site_fract_y
_atom_site_fract_z
U1 0.000 0.000 0.000
Ge1 0.000 0.000 0.500
Rh1 0.500 0.500 0.283
```

2.
UGeRh2: relaxed, PBE-GGA.

Computed properties:
VASP energy	-8.029	eV/atom
energy relative to the elements	-0.3771	eV per atom
DOS(E_F)	7.67	states/eV/f.u.

```
data_UGeRh2
_cell_length_a 4.210
_cell_length_b 4.210
_cell_length_c 3.935
_cell_angle_alpha 90.00
_cell_angle_beta 90.00
_cell_angle_gamma 90.00
_symmetry_space_group_name_H-M 'P 4/m m m'
_symmetry_Int_Tables_number 123
_symmetry_space_group_name_Hall '-P 4 2'
loop_
_atom_site_label
_atom_site_fract_x
_atom_site_fract_y
_atom_site_fract_z
U1 0.000 0.000 0.000
Ge1 0.500 0.500 0.000
Rh1 0.000 0.500 0.500
```

3.
U4Ge12Rh: relaxed, PBE-GGA.

Computed properties:
VASP energy	-6.593	eV/atom
energy relative to the elements	-0.2454	eV per atom
DOS(E_F)	22.96	states/eV/f.u.

```
data_U4Ge12Rh
_cell_length_a 8.571
_cell_length_b 8.571
_cell_length_c 8.571
_cell_angle_alpha 90.00
_cell_angle_beta 90.00
_cell_angle_gamma 90.00
_symmetry_space_group_name_H-M 'I m -3 m'
_symmetry_Int_Tables_number 229
_symmetry_space_group_name_Hall '-I 4 2 3'
loop_
_atom_site_label
_atom_site_fract_x
_atom_site_fract_y
_atom_site_fract_z
U1 0.250 0.250 0.250
Ge1 0.000 0.000 0.287
Ge2 0.000 0.250 0.500
Rh1 0.000 0.000 0.000
```

4.
U2Ge7Rh12: relaxed, PBE-GGA.

Computed properties:
VASP energy	-7.380	eV/atom
energy relative to the elements	-0.5655	eV per atom
DOS(E_F)	22.51	states/eV/f.u.

```
data_U2Ge7Rh12
_cell_length_a 10.0153
_cell_length_b 10.0153
_cell_length_c 3.8677
_cell_angle_alpha 90.00
_cell_angle_beta 90.00
_cell_angle_gamma 120.00
_symmetry_space_group_name_H-M 'P -6'
_symmetry_Int_Tables_number 174
_symmetry_space_group_name_Hall 'P -6'
loop_
_atom_site_label
_atom_site_fract_x
_atom_site_fract_y
_atom_site_fract_z
U1 0.0000 0.0000 0.0000
U2 0.3333 0.6667 0.5000
Ge1 0.0627 0.4442 0.0000
Ge2 0.2658 0.2276 0.5000
Ge3 0.6667 0.3333 0.0000
Rh1 0.0438 0.2654 0.5000
Rh2 0.1194 0.7129 0.0000
Rh3 0.3912 0.1868 0.0000
Rh4 0.5368 0.4473 0.5000
```

5.
U4Ge6Rh5: relaxed, PBE-GGA.

Computed properties:
VASP energy	-7.704	eV/atom
energy relative to the elements	-0.3966	eV per atom
DOS(E_F)	26.00	states/eV/f.u.

```
data_U4Ge6Rh5
_cell_length_a 4.151
_cell_length_b 18.862
_cell_length_c 14.657
_cell_angle_alpha 90.00
_cell_angle_beta 90.00
_cell_angle_gamma 90.00
_symmetry_space_group_name_H-M 'C m c 21'
_symmetry_Int_Tables_number 36
_symmetry_space_group_name_Hall 'C 2c -2'
loop_
_atom_site_label
_atom_site_fract_x
_atom_site_fract_y
_atom_site_fract_z
U1 0.000 0.024 0.000
U2 0.000 0.034 0.733
U3 0.000 0.161 0.196
U4 0.000 0.178 0.571
Ge1 0.000 0.109 0.388
Ge2 0.000 0.223 0.012
Ge3 0.000 0.239 0.752
Ge4 0.000 0.416 0.367
Ge5 0.000 0.430 0.081
Ge6 0.000 0.441 0.644
Rh1 0.000 0.151 0.873
Rh2 0.000 0.314 0.888
Rh3 0.000 0.342 0.214
Rh4 0.000 0.354 0.518
Rh5 0.000 0.456 0.819
```

6.
UGeRh2: relaxed, PBE-GGA.

Computed properties:
VASP energy	-7.893	eV/atom
energy relative to the elements	-0.2410	eV per atom
DOS(E_F)	5.40	states/eV/f.u.

```
data_UGeRh2
_cell_length_a 4.383
_cell_length_b 3.890
_cell_length_c 4.429
_cell_angle_alpha 90.00
_cell_angle_beta 98.45
_cell_angle_gamma 90.00
_symmetry_space_group_name_H-M 'P 1 2/m 1'
_symmetry_Int_Tables_number 10
_symmetry_space_group_name_Hall '-P 2y'
loop_
_atom_site_label
_atom_site_fract_x
_atom_site_fract_y
_atom_site_fract_z
U1 0.000 0.000 0.000
Ge1 0.500 0.000 0.500
Rh1 0.265 0.500 0.736
```

7.
U3Ge2Rh6: relaxed, PBE-GGA.

Computed properties:
VASP energy	-8.446	eV/atom
energy relative to the elements	-0.5182	eV per atom
DOS(E_F)	11.89	states/eV/f.u.

```
data_U3Ge2Rh6
_cell_length_a 9.145
_cell_length_b 9.145
_cell_length_c 9.145
_cell_angle_alpha 90.00
_cell_angle_beta 90.00
_cell_angle_gamma 90.00
_symmetry_space_group_name_H-M 'I m -3 m'
_symmetry_Int_Tables_number 229
_symmetry_space_group_name_Hall '-I 4 2 3'
loop_
_atom_site_label
_atom_site_fract_x
_atom_site_fract_y
_atom_site_fract_z
U1 0.000 0.000 0.264
Ge1 0.250 0.250 0.250
Rh1 0.000 0.352 0.352
```

8.
UGe6Rh6: relaxed, PBE-GGA.

Computed properties:
VASP energy	-6.855	eV/atom
energy relative to the elements	-0.4628	eV per atom
DOS(E_F)	8.19	states/eV/f.u.

```
data_UGe6Rh6
_cell_length_a 5.498
_cell_length_b 8.027
_cell_length_c 9.527
_cell_angle_alpha 90.00
_cell_angle_beta 90.00
_cell_angle_gamma 90.00
_symmetry_space_group_name_H-M 'I m m m'
_symmetry_Int_Tables_number 71
_symmetry_space_group_name_Hall '-I 2 2'
loop_
_atom_site_label
_atom_site_fract_x
_atom_site_fract_y
_atom_site_fract_z
U1 0.000 0.000 0.000
Ge1 0.000 0.000 0.329
Ge2 0.000 0.346 0.000
Ge3 0.000 0.500 0.339
Rh1 0.000 0.239 0.500
Rh2 0.250 0.250 0.250
```

9.
UGeRh2: relaxed, PBE-GGA.

Computed properties:
VASP energy	-7.827	eV/atom
energy relative to the elements	-0.1745	eV per atom
DOS(E_F)	7.16	states/eV/f.u.

```
data_UGeRh2
_cell_length_a 2.9466
_cell_length_b 2.9466
_cell_length_c 26.4405
_cell_angle_alpha 90.00
_cell_angle_beta 90.00
_cell_angle_gamma 120.00
_symmetry_space_group_name_H-M 'R -3 m'
_symmetry_Int_Tables_number 166
_symmetry_space_group_name_Hall '-R 3 2"'
loop_
_atom_site_label
_atom_site_fract_x
_atom_site_fract_y
_atom_site_fract_z
U1 0.0000 0.0000 0.0000
Ge1 0.0000 0.0000 0.5000
Rh1 0.0000 0.0000 0.2406
```

10.
U2GeRh: relaxed, PBE-GGA.

Computed properties:
VASP energy	-8.565	eV/atom
energy relative to the elements	0.0708	eV per atom
DOS(E_F)	9.86	states/eV/f.u.

```
data_U2GeRh
_cell_length_a 2.9784
_cell_length_b 2.9784
_cell_length_c 30.6502
_cell_angle_alpha 90.00
_cell_angle_beta 90.00
_cell_angle_gamma 120.00
_symmetry_space_group_name_H-M 'R -3 m'
_symmetry_Int_Tables_number 166
_symmetry_space_group_name_Hall '-R 3 2"'
loop_
_atom_site_label
_atom_site_fract_x
_atom_site_fract_y
_atom_site_fract_z
U1 0.0000 0.0000 0.0836
Ge1 0.0000 0.0000 0.5000
Rh1 0.0000 0.0000 0.0000
```

11.
UGeRh2: relaxed, PBE-GGA.

Computed properties:
VASP energy	-8.175	eV/atom
energy relative to the elements	-0.5231	eV per atom
DOS(E_F)	6.50	states/eV/f.u.

```
data_UGeRh2
_cell_length_a 4.953
_cell_length_b 4.365
_cell_length_c 6.613
_cell_angle_alpha 90.00
_cell_angle_beta 99.46
_cell_angle_gamma 90.00
_symmetry_space_group_name_H-M 'P 1 21/m 1'
_symmetry_Int_Tables_number 11
_symmetry_space_group_name_Hall '-P 2yb'
loop_
_atom_site_label
_atom_site_fract_x
_atom_site_fract_y
_atom_site_fract_z
U1 0.196 0.250 0.224
Ge1 0.289 0.250 0.719
Rh1 0.250 0.750 0.478
Rh2 0.322 0.750 0.938
```

12.
UGe2Rh3: relaxed, PBE-GGA.

Computed properties:
VASP energy	-7.681	eV/atom
energy relative to the elements	-0.5847	eV per atom
DOS(E_F)	7.23	states/eV/f.u.

```
data_UGe2Rh3
_cell_length_a 16.693
_cell_length_b 3.954
_cell_length_c 9.726
_cell_angle_alpha 90.00
_cell_angle_beta 108.08
_cell_angle_gamma 90.00
_symmetry_space_group_name_H-M 'C 1 2/m 1'
_symmetry_Int_Tables_number 12
_symmetry_space_group_name_Hall '-C 2y'
loop_
_atom_site_label
_atom_site_fract_x
_atom_site_fract_y
_atom_site_fract_z
U1 0.000 0.000 0.000
U2 0.165 0.000 0.703
Ge1 0.044 0.500 0.775
Ge2 0.136 0.500 0.451
Ge3 0.191 0.000 0.122
Rh1 0.000 0.500 0.500
Rh2 0.042 0.000 0.326
Rh3 0.109 0.500 0.181
Rh4 0.182 0.500 0.954
Rh5 0.219 0.000 0.389
```